Record 1
PBE-GGA KSrCdI5, relaxed; formation energy without anion corrections = -1218.0 meV/atom; DOS at the Fermi energy = 0.00 states/eV/f.u.; theoretical density = 3.66 g cm⁻³
1.0
-1.190 -3.983 7.716
-4.302 -4.964 -5.803
11.324 -1.705 -2.484
I Cd K Sr
10 2 2 2
direct
0.077 0.656 0.871
0.619 0.730 0.944
0.344 0.923 0.629
0.730 0.619 0.444
0.656 0.077 0.371
0.903 0.097 0.750
0.097 0.903 0.250
0.381 0.270 0.056
0.923 0.344 0.129
0.270 0.381 0.556
0.680 0.320 0.250
0.320 0.680 0.750
0.350 0.650 0.250
0.650 0.350 0.750
0.000 0.000 0.500
0.000 0.000 0.000

Record 2
PBE-GGA NaTe2Pt, relaxed; formation energy without anion corrections = -420.4 meV/atom; polymorph energy (0 for the lowest one) = 45 meV per atom; DOS at the Fermi energy = 4.37 states/eV/f.u.; theoretical density = 7.19 g cm⁻³
1.0
8.449 0.000 0.000
0.000 8.449 0.000
4.224 4.224 3.062
Te Na Pt
4 2 2
direct
0.375 0.290 0.750
0.875 0.960 0.750
0.710 0.125 0.250
0.040 0.625 0.250
0.500 0.500 0.000
0.250 0.750 0.500
0.000 0.000 0.000
0.750 0.250 0.500

Record 3
PBE-GGA Cu2HAu, relaxed; polymorph energy (0 for the lowest one) = 211 meV per atom; DOS at the Fermi energy = 0.91 states/eV/f.u.; theoretical density = 11.47 g cm⁻³
1.0
2.676 0.000 0.000
0.000 2.676 0.000
0.000 0.000 6.571
Cu Au H
2 1 1
direct
0.000 0.000 0.816
0.000 0.000 0.184
0.500 0.500 0.500
0.500 0.500 0.000

Record 4
PBE-GGA GdTiCo2, relaxed; polymorph energy (0 for the lowest one) = 129 meV per atom; DOS at the Fermi energy = 3.59 states/eV/f.u.; theoretical density = 8.30 g cm⁻³
1.0
-1.722 -4.108 0.662
-1.371 -2.460 -3.514
2.333 -3.646 -1.243
Co Ti Gd
2 1 1
direct
0.750 0.750 0.750
0.250 0.250 0.250
0.000 0.000 0.000
0.500 0.500 0.500

Record 5
PBE-GGA NaSb2Ir, relaxed; formation energy without anion corrections = -17.6 meV/atom; polymorph energy (0 for the lowest one) = 85 meV per atom; DOS at the Fermi energy = 0.75 states/eV/f.u.; theoretical density = 9.39 g cm⁻³
1.0
1.867 0.703 4.430
2.353 4.127 1.018
-2.003 3.264 2.990
Na Sb Ir
1 2 1
direct
0.000 0.000 0.000
0.250 0.250 0.250
0.750 0.750 0.750
0.500 0.500 0.500

Which value of DOS at the Fermi energy does entry 4 give?
3.59 states/eV/f.u.